## Sr2InTe4 (PBE)

Data for an optimized crystal structure of Sr2InTe4.

POSCAR file:
```
Sr2InTe4
1.0
-2.875 2.875 8.212
2.875 -2.875 8.212
2.875 2.875 -8.212
Sr In Te
2 1 4
Cartesian
0.000 0.000 2.084
0.000 0.000 14.341
0.000 0.000 8.212
2.875 0.000 0.000
0.000 0.000 5.292
0.000 2.875 0.000
0.000 0.000 11.132
```

Total moment in μB per formula unit: 0.000
ΔE_f (raw) in eV per atom: -0.76
Total DFT energy (no corrections) in eV per formula unit: -23.99
Space-group type: I4/mmm (139)

=====

## LiSiHg (PBE)

Data for an optimized crystal structure of LiSiHg.

POSCAR file:
```
LiSiHg
1.0
-1.680 2.002 3.984
1.680 -2.002 3.984
1.680 2.002 -3.984
Li Si Hg
1 1 1
Cartesian
0.000 0.000 0.000
0.000 0.000 5.352
0.000 0.000 2.666
```

Total moment in μB per formula unit: 0.000
Energy above the lowest structure with this stoichiometry in eV per formula unit: 0.54
ΔE_f (raw) in eV per atom: 0.08
Total DFT energy (no corrections) in eV per formula unit: -7.41
Space-group type: Imm2 (44)

=====

## CaYTa2 (PBE)

Data for an optimized crystal structure of CaYTa2.

POSCAR file:
```
CaYTa2
1.0
3.136 0.000 0.000
0.000 4.921 0.000
-1.566 0.000 6.459
Ca Y Ta
1 1 2
Cartesian
0.000 0.000 0.000
0.071 2.461 4.378
1.376 0.000 2.827
1.823 2.461 1.734
```

Total moment in μB per formula unit: 0.000
DFT formation energy in eV/atom: 0.4904
Energy above the lowest structure with this stoichiometry in eV per formula unit: 0.85
Total DFT energy (no corrections) in eV per formula unit: -30.21
Space-group type: Pm (6)

=====

no.,DOS at the Fermi energy (states/eV/f.u.)
1,5.97
2,0.92
3,3.47